Here is a relaxed structure of TiMn2Br from Alexandria. Energies are from GGA-PBE.

POSCAR file:
```
TiMn2Br
1.0
1.4700 -1.9730 3.4484
-2.3897 -0.2275 3.4904
-1.6646 -3.7094 1.1892
Mn Br Ti
2 1 1
direct
0.2500 0.2500 0.2500
0.7500 0.7500 0.7500
0.5000 0.5000 0.5000
0.0000 0.0000 0.0000
```

Space group ... Fm-3m
Magnetization ... 0.0000 μB per atom
Crystal system ... cubic
Density of states at the Fermi level ... 1.1116 states/eV per atom
Energy above the lowest structure with this stoichiometry ... 0.1874 eV per atom
V ... 53.75 Å³/cell
Energy relative to the elements, uncorrected ... 0.726 eV/atom